A plane-wave DFT calculation with PBE was carried out for a relaxed structure of YTiRe2.

Output
DFT formation energy = 0.79 eV per atom
energy above the most stable polymorph in this dataset = 581.9 meV per atom
space-group type = I-42d
D(E_F) = 6.253 states/eV/cell
total moment = 0.0 μB per formula unit
VASP energy = -9.0286 eV per atom

Cell: 9.287 9.287 9.287 Å, 150.62 150.62 42.03°
Atoms (fractional coordinates):
Y1 0.000 0.000 0.000
Y2 0.750 0.250 0.500
Ti1 0.250 0.750 0.500
Ti2 0.500 0.500 0.000
Re1 0.319 0.625 0.194
Re2 0.375 0.569 0.694
Re3 0.431 0.125 0.806
Re4 0.875 0.681 0.306

=====

A plane-wave DFT calculation with PBE was carried out for a relaxed structure of YTi2Re2.

Output
DFT formation energy = 0.00 eV per atom
energy above the most stable polymorph in this dataset = 0.0 meV per atom
space-group type = I4/mmm
D(E_F) = 3.618 states/eV/cell
total moment = 0.0 μB per formula unit
VASP energy = -9.4335 eV per atom

Cell: 6.356 6.356 6.356 Å, 141.84 141.84 55.07°
Atoms (fractional coordinates):
Y1 0.000 0.000 0.000
Ti1 0.250 0.750 0.500
Ti2 0.750 0.250 0.500
Re1 0.389 0.389 0.000
Re2 0.611 0.611 0.000

=====

A plane-wave DFT calculation with PBE was carried out for a relaxed structure of Y2TiRe.

Output
DFT formation energy = 0.77 eV per atom
energy above the most stable polymorph in this dataset = 364.4 meV per atom
space-group type = I-42d
D(E_F) = 12.158 states/eV/cell
total moment = 1.1 μB per formula unit
VASP energy = -7.5506 eV per atom

Cell: 6.432 6.432 6.432 Å, 101.92 101.92 125.94°
Atoms (fractional coordinates):
Y1 0.086 0.625 0.961
Y2 0.375 0.336 0.461
Y3 0.664 0.125 0.039
Y4 0.875 0.914 0.539
Ti1 0.250 0.750 0.500
Ti2 0.500 0.500 0.000
Re1 0.000 0.000 0.000
Re2 0.750 0.250 0.500

=====

A plane-wave DFT calculation with PBE was carried out for a relaxed structure of YTi2Re2.

Output
DFT formation energy = 0.04 eV per atom
energy above the most stable polymorph in this dataset = 41.7 meV per atom
space-group type = P4/mbm
D(E_F) = 8.100 states/eV/cell
total moment = 0.0 μB per formula unit
VASP energy = -9.3918 eV per atom

Cell: 7.721 7.721 3.037 Å, 90.00 90.00 90.00°
Atoms (fractional coordinates):
Y1 0.000 0.000 0.000
Y2 0.500 0.500 0.000
Ti1 0.141 0.359 0.500
Ti2 0.359 0.859 0.500
Ti3 0.641 0.141 0.500
Ti4 0.859 0.641 0.500
Re1 0.149 0.649 0.000
Re2 0.351 0.149 0.000
Re3 0.649 0.851 0.000
Re4 0.851 0.351 0.000

=====

A plane-wave DFT calculation with PBE was carried out for a relaxed structure of Y2TiRe.

Output
DFT formation energy = 0.40 eV per atom
energy above the most stable polymorph in this dataset = 0.0 meV per atom
space-group type = Fm-3m
D(E_F) = 10.906 states/eV/cell
total moment = 0.0 μB per formula unit
VASP energy = -7.9149 eV per atom

Cell: 4.980 4.980 4.980 Å, 60.00 60.00 60.00°
Atoms (fractional coordinates):
Y1 0.250 0.250 0.250
Y2 0.750 0.750 0.750
Ti1 0.000 0.000 0.000
Re1 0.500 0.500 0.500

=====

A plane-wave DFT calculation with PBE was carried out for a relaxed structure of YTi3Re.

Output
DFT formation energy = 0.33 eV per atom
energy above the most stable polymorph in this dataset = 0.0 meV per atom
space-group type = Pm-3m
D(E_F) = 10.830 states/eV/cell
total moment = 0.1 μB per formula unit
VASP energy = -8.1849 eV per atom

Cell: 4.824 4.824 4.824 Å, 90.00 90.00 90.00°
Atoms (fractional coordinates):
Y1 0.000 0.000 0.000
Ti1 0.000 0.500 0.500
Ti2 0.500 0.000 0.500
Ti3 0.500 0.500 0.000
Re1 0.500 0.500 0.500